Density functional theory data (PBE-GGA) for an optimized crystal structure of KTl4.

Computed properties:
- VASP energy (eV per atom) = -1.531
- magnetization (μB/f.u.) = 0.000
- symmetry = Pm-3m (221)
- volume (Å³/f.u.) = 232

a = 6.1477 Å, b = 6.1477 Å, c = 6.1477 Å
α = 90.00°, β = 90.00°, γ = 90.00°
With the nearest neighbours (Å) after each atom.
Fractional positions:
K  0.5000  0.5000  0.5000  6 Tl 3.07
Tl  0.0000  0.0000  0.0000  12 Tl 4.35
Tl  0.5000  0.0000  0.5000  2 K 3.07
Tl  0.0000  0.5000  0.5000  2 K 3.07
Tl  0.5000  0.5000  0.0000  2 K 3.07

---

Density functional theory data (PBE-GGA) for an optimized crystal structure of K5Tl24.

Computed properties:
- VASP energy (eV per atom) = -2.213
- magnetization (μB/f.u.) = 0.000
- symmetry = I-43m (217)
- volume (Å³/f.u.) = 936

a = 10.6735 Å, b = 10.6735 Å, c = 10.6735 Å
α = 109.47°, β = 109.47°, γ = 109.47°
With the nearest neighbours (Å) after each atom.
Fractional positions:
K  0.0000  0.3707  0.0000  12 Tl 3.52-3.91
K  0.3707  0.0000  0.0000  12 Tl 3.52-3.91
K  0.6293  0.6293  0.6293  12 Tl 3.52-3.91
K  0.0000  0.0000  0.3707  12 Tl 3.52-3.91
K  0.0000  0.0000  0.0000  12 Tl 3.87, 4 K 3.96
Tl  0.8057  0.6227  0.0000  6 Tl 3.19-3.48
Tl  0.6227  0.8057  0.0000  6 Tl 3.19-3.48
Tl  0.3773  0.3773  0.1831  6 Tl 3.19-3.48
Tl  0.1943  0.1943  0.8169  6 Tl 3.19-3.48
Tl  0.0000  0.6227  0.8057  6 Tl 3.19-3.48
Tl  0.0000  0.8057  0.6227  6 Tl 3.19-3.48
Tl  0.8169  0.1943  0.1943  6 Tl 3.19-3.48
Tl  0.1831  0.3773  0.3773  6 Tl 3.19-3.48
Tl  0.1943  0.8169  0.1943  6 Tl 3.19-3.48
Tl  0.3773  0.1831  0.3773  6 Tl 3.19-3.48
Tl  0.8057  0.0000  0.6227  6 Tl 3.19-3.48
Tl  0.6227  0.0000  0.8057  6 Tl 3.19-3.48
Tl  0.3225  0.6052  0.0000  3 Tl 3.21-3.48, 1 K 3.52
Tl  0.6052  0.3225  0.0000  3 Tl 3.21-3.48, 1 K 3.52
Tl  0.3948  0.3948  0.7173  3 Tl 3.21-3.48, 1 K 3.52
Tl  0.6775  0.6775  0.2827  3 Tl 3.21-3.48, 1 K 3.52
Tl  0.0000  0.6052  0.3225  3 Tl 3.21-3.48, 1 K 3.52
Tl  0.0000  0.3225  0.6052  3 Tl 3.21-3.48, 1 K 3.52
Tl  0.2827  0.6775  0.6775  3 Tl 3.21-3.48, 1 K 3.52
Tl  0.7173  0.3948  0.3948  3 Tl 3.21-3.48, 1 K 3.52
Tl  0.6775  0.2827  0.6775  3 Tl 3.21-3.48, 1 K 3.52
Tl  0.3948  0.7173  0.3948  3 Tl 3.21-3.48, 1 K 3.52
Tl  0.3225  0.0000  0.6052  3 Tl 3.21-3.48, 1 K 3.52
Tl  0.6052  0.0000  0.3225  3 Tl 3.21-3.48, 1 K 3.52

---

Density functional theory data (PBE-GGA) for an optimized crystal structure of KTl.

Computed properties:
- VASP energy (eV per atom) = -1.566
- magnetization (μB/f.u.) = 0.000
- symmetry = I-43m (217)
- volume (Å³/f.u.) = 160

a = 10.8526 Å, b = 10.8526 Å, c = 10.8526 Å
α = 90.00°, β = 90.00°, γ = 90.00°
With the nearest neighbours (Å) after each atom.
Fractional positions:
K  0.2091  0.2091  0.2091  4 Tl 3.48-3.77
K  0.2091  0.7909  0.7909  4 Tl 3.48-3.77
K  0.7909  0.2091  0.7909  4 Tl 3.48-3.77
K  0.7909  0.7909  0.2091  4 Tl 3.48-3.77
K  0.7091  0.7091  0.7091  4 Tl 3.48-3.77
K  0.7091  0.2909  0.2909  4 Tl 3.48-3.77
K  0.2909  0.7091  0.2909  4 Tl 3.48-3.77
K  0.2909  0.2909  0.7091  4 Tl 3.48-3.77
Tl  0.3943  0.3943  0.3943  3 Tl 3.24, 1 K 3.48
Tl  0.3943  0.6057  0.6057  3 Tl 3.24, 1 K 3.48
Tl  0.6057  0.3943  0.6057  3 Tl 3.24, 1 K 3.48
Tl  0.6057  0.6057  0.3943  3 Tl 3.24, 1 K 3.48
Tl  0.8943  0.8943  0.8943  3 Tl 3.24, 1 K 3.48
Tl  0.8943  0.1057  0.1057  3 Tl 3.24, 1 K 3.48
Tl  0.1057  0.8943  0.1057  3 Tl 3.24, 1 K 3.48
Tl  0.1057  0.1057  0.8943  3 Tl 3.24, 1 K 3.48

---

Density functional theory data (PBE-GGA) for an optimized crystal structure of KTl.

Computed properties:
- VASP energy (eV per atom) = -1.705
- magnetization (μB/f.u.) = 0.000
- symmetry = Amm2 (38)
- volume (Å³/f.u.) = 86

a = 4.0134 Å, b = 11.5893 Å, c = 11.0805 Å
α = 90.00°, β = 90.00°, γ = 90.00°
With the nearest neighbours (Å) after each atom.
Fractional positions:
K  0.5000  0.8384  0.6053  4 Tl 3.55-3.59, 1 K 3.75
K  0.5000  0.1616  0.6053  4 Tl 3.55-3.59, 1 K 3.75
K  0.5000  0.3384  0.1053  4 Tl 3.55-3.59, 1 K 3.75
K  0.5000  0.6616  0.1053  4 Tl 3.55-3.59, 1 K 3.75
K  0.5000  0.0000  0.1955  6 Tl 3.88-3.97, 4 K 4.01-4.05
K  0.5000  0.5000  0.6955  6 Tl 3.88-3.97, 4 K 4.01-4.05
Tl  0.0000  0.2574  0.8547  1 Tl 3.00
Tl  0.0000  0.7426  0.8547  1 Tl 3.00
Tl  0.0000  0.7574  0.3547  1 Tl 3.00
Tl  0.0000  0.2426  0.3547  1 Tl 3.00
Tl  0.0000  0.0000  0.8864  2 Tl 3.00
Tl  0.0000  0.5000  0.3864  2 Tl 3.00

---

Density functional theory data (PBE-GGA) for an optimized crystal structure of KTl.

Computed properties:
- VASP energy (eV per atom) = -1.705
- magnetization (μB/f.u.) = 0.000
- symmetry = Pmmn (59)
- volume (Å³/f.u.) = 78

a = 4.0189 Å, b = 6.0548 Å, c = 6.4318 Å
α = 90.00°, β = 90.00°, γ = 90.00°
With the nearest neighbours (Å) after each atom.
Fractional positions:
K  0.0000  0.0000  0.0209  6 Tl 3.61-3.97, 6 K 3.87-4.02
K  0.5000  0.5000  0.8124  6 Tl 3.61-3.97, 6 K 3.87-4.02
Tl  0.5000  0.0000  0.4881  6 K 3.61-3.97, 6 Tl 3.75-4.02
Tl  0.0000  0.5000  0.3453  6 K 3.61-3.97, 6 Tl 3.75-4.02

---

Density functional theory data (PBE-GGA) for an optimized crystal structure of KTl4.

Computed properties:
- VASP energy (eV per atom) = -1.704
- magnetization (μB/f.u.) = 0.000
- symmetry = Im-3m (229)
- volume (Å³/f.u.) = 210

a = 6.4872 Å, b = 6.4872 Å, c = 6.4872 Å
α = 109.47°, β = 109.47°, γ = 109.47°
With the nearest neighbours (Å) after each atom.
Fractional positions:
K  0.0000  0.0000  0.0000  8 Tl 3.24
Tl  0.0000  0.5000  0.0000  2 K 3.24
Tl  0.0000  0.0000  0.5000  2 K 3.24
Tl  0.5000  0.5000  0.5000  2 K 3.24
Tl  0.5000  0.0000  0.0000  2 K 3.24

---

Density functional theory data (PBE-GGA) for an optimized crystal structure of KTl4.

Computed properties:
- VASP energy (eV per atom) = -2.170
- magnetization (μB/f.u.) = 0.000
- symmetry = Immm (71)
- volume (Å³/f.u.) = 165

a = 3.7440 Å, b = 4.6715 Å, c = 9.8759 Å
α = 103.68°, β = 100.93°, γ = 90.00°
With the nearest neighbours (Å) after each atom.
Fractional positions:
K  0.0000  0.0000  0.0000  2 K 3.74, 10 Tl 3.75-3.81
Tl  0.6200  0.6200  0.2400  5 Tl 3.34-3.37
Tl  0.2025  0.2025  0.4050  9 Tl 3.34-3.49
Tl  0.7975  0.7975  0.5950  9 Tl 3.34-3.49
Tl  0.3800  0.3800  0.7600  5 Tl 3.34-3.37

---

Density functional theory data (PBE-GGA) for an optimized crystal structure of K6Tl.

Computed properties:
- VASP energy (eV per atom) = -0.829
- magnetization (μB/f.u.) = 0.822
- symmetry = Im-3m (229)
- volume (Å³/f.u.) = 654

a = 9.4705 Å, b = 9.4705 Å, c = 9.4705 Å
α = 109.47°, β = 109.47°, γ = 109.47°
With the nearest neighbours (Å) after each atom.
Fractional positions:
K  0.2500  0.7500  0.5000  4 K 3.87
K  0.5000  0.7500  0.2500  4 K 3.87
K  0.2500  0.5000  0.7500  4 K 3.87
K  0.7500  0.2500  0.5000  4 K 3.87
K  0.5000  0.2500  0.7500  4 K 3.87
K  0.7500  0.5000  0.2500  4 K 3.87
Tl  0.0000  0.0000  0.0000  none within 6

---

Density functional theory data (PBE-GGA) for an optimized crystal structure of KTl.

Computed properties:
- VASP energy (eV per atom) = -1.704
- magnetization (μB/f.u.) = 0.000
- symmetry = I4/m (87)
- volume (Å³/f.u.) = 86

a = 13.5173 Å, b = 13.5173 Å, c = 3.7685 Å
α = 90.00°, β = 90.00°, γ = 90.00°
With the nearest neighbours (Å) after each atom.
Fractional positions:
K  0.3357  0.1329  0.0000  4 Tl 3.66-3.77, 2 K 3.77
K  0.6643  0.8671  0.0000  4 Tl 3.66-3.77, 2 K 3.77
K  0.8671  0.3357  0.0000  4 Tl 3.66-3.77, 2 K 3.77
K  0.1329  0.6643  0.0000  4 Tl 3.66-3.77, 2 K 3.77
K  0.8357  0.6329  0.5000  4 Tl 3.66-3.77, 2 K 3.77
K  0.1643  0.3671  0.5000  4 Tl 3.66-3.77, 2 K 3.77
K  0.3671  0.8357  0.5000  4 Tl 3.66-3.77, 2 K 3.77
K  0.6329  0.1643  0.5000  4 Tl 3.66-3.77, 2 K 3.77
Tl  0.1478  0.9379  0.0000  2 Tl 3.06
Tl  0.8522  0.0621  0.0000  2 Tl 3.06
Tl  0.0621  0.1478  0.0000  2 Tl 3.06
Tl  0.9379  0.8522  0.0000  2 Tl 3.06
Tl  0.6478  0.4379  0.5000  2 Tl 3.06
Tl  0.3522  0.5621  0.5000  2 Tl 3.06
Tl  0.5621  0.6478  0.5000  2 Tl 3.06
Tl  0.4379  0.3522  0.5000  2 Tl 3.06

---

Density functional theory data (PBE-GGA) for an optimized crystal structure of KTl.

Computed properties:
- VASP energy (eV per atom) = -1.716
- magnetization (μB/f.u.) = 0.000
- symmetry = P2_13 (198)
- volume (Å³/f.u.) = 80

a = 6.8306 Å, b = 6.8306 Å, c = 6.8306 Å
α = 90.00°, β = 90.00°, γ = 90.00°
With the nearest neighbours (Å) after each atom.
Fractional positions:
K  0.0916  0.5916  0.9084  7 Tl 3.59-3.74
K  0.4084  0.4084  0.4084  7 Tl 3.59-3.74
K  0.9084  0.0916  0.5916  7 Tl 3.59-3.74
K  0.5916  0.9084  0.0916  7 Tl 3.59-3.74
Tl  0.3965  0.8965  0.6035  7 K 3.59-3.74
Tl  0.1035  0.1035  0.1035  7 K 3.59-3.74
Tl  0.6035  0.3965  0.8965  7 K 3.59-3.74
Tl  0.8965  0.6035  0.3965  7 K 3.59-3.74